! Na2CdCoO4, optimized geometry, DFT PBE with a Hubbard U; values from VASP
! * space-group type: I-4, No. 82
! * DFT total energy: -37.39 eV per formula unit
&SYSTEM
  ibrav = 0, nat = 8, ntyp = 4
/
ATOMIC_SPECIES
Na 22.99 Na.upf
Cd 112.41 Cd.upf
Co 58.93 Co.upf
O 16.00 O.upf
ATOMIC_POSITIONS crystal
Na 0.500 0.750 0.250
Na 0.000 0.000 0.000
Cd 0.500 0.250 0.750
Co 0.000 0.500 0.500
O 0.573 0.359 0.383
O 0.024 0.213 0.641
O 0.976 0.617 0.190
O 0.427 0.810 0.787
CELL_PARAMETERS angstrom
-0.667 -4.886 1.898
4.657 2.274 1.029
-3.036 3.757 2.142